# 1
The following is a PBE calculation of a geometry-optimized CeNi5 structure, from the Alexandria database.

a b c (Å): 4.8830 4.8830 3.9951
angles (deg): 90.00 90.00 120.00
Last column: magnetic moment on the atom in μB.
Positions (direct):
Ni  0.5000  0.0000  0.5000  0.21
Ni  0.5000  0.5000  0.5000  0.21
Ni  0.0000  0.5000  0.5000  0.21
Ni  0.6667  0.3333  0.0000  0.17
Ni  0.3333  0.6667  0.0000  0.17
Ce  0.0000  0.0000  0.0000  -0.19

Computed properties:
SG	P6/mmm
electronic total energy	-36.9	eV for the cell shown
formation energy from the elements	-0.34	eV/atom
ρ	8.7	Mg/m³
density of states at the Fermi level	6.35	states/eV per cell

# 2
The following is a PBE calculation of a geometry-optimized Th2MgZn4Cu3 structure, from the Alexandria database.

a b c (Å): 4.0425 4.0425 11.5000
angles (deg): 90.00 90.00 90.00
Positions (direct):
Zn  0.0000  0.5000  0.3526
Zn  0.5000  0.5000  0.0000
Zn  0.0000  0.0000  0.0000
Zn  0.5000  0.0000  0.6474
Th  0.0000  0.5000  0.7681
Th  0.5000  0.0000  0.2319
Cu  0.0000  0.0000  0.5000
Cu  0.0000  0.5000  0.1349
Cu  0.5000  0.0000  0.8651
Mg  0.5000  0.5000  0.5000

Computed properties:
SG	P-4m2
electronic total energy	-35.7	eV for the cell shown
formation energy from the elements	-0.18	eV/atom
ρ	8.3	Mg/m³
density of states at the Fermi level	6.65	states/eV per cell

# 3
The following is a PBE calculation of a geometry-optimized CoCuBr2 structure, from the Alexandria database.

a b c (Å): 3.5684 7.5125 3.5852
angles (deg): 90.00 90.00 90.00
Last column: magnetic moment on the atom in μB.
Positions (direct):
Cu  0.0000  0.5000  0.5000  0.00
Br  0.0000  0.0000  0.0000  0.09
Br  0.5000  0.5000  0.0000  0.00
Co  0.5000  0.0000  0.5000  1.88

Computed properties:
ΔE_f (raw)	0.32	eV/atom
SG	Pmmm
offset from the most stable computed form	357	meV per atom
electronic total energy	-13.2	eV for the cell shown
ρ	4.9	Mg/m³
density of states at the Fermi level	3.93	states/eV per cell